P | # NbV2Co, optimized geometry, DFT PBE
data_NbV2Co
_cell_length_a 6.8035
_cell_length_b 6.8035
_cell_length_c 5.0805
_cell_angle_alpha 90.00
_cell_angle_beta 90.00
_cell_angle_gamma 90.00
_symmetry_space_group_name_H-M 'I -4 2 d'
_symmetry_Int_Tables_number 122
_symmetry_space_group_name_Hall 'I -4 2bw'
loop_
_atom_site_label
_atom_site_fract_x
_atom_site_fract_y
_atom_site_fract_z
Nb1 0.0000 0.0000 0.0000
V1 0.2161 0.7500 0.6250
Co1 0.0000 0.0000 0.5000
# Spin magnetization in μB/f.u.: 0.00

Q | # NbV2Co, optimized geometry, DFT PBE
data_NbV2Co
_cell_length_a 4.2552
_cell_length_b 4.2552
_cell_length_c 3.0765
_cell_angle_alpha 90.00
_cell_angle_beta 90.00
_cell_angle_gamma 90.00
_symmetry_space_group_name_H-M 'P 4/m m m'
_symmetry_Int_Tables_number 123
_symmetry_space_group_name_Hall '-P 4 2'
loop_
_atom_site_label
_atom_site_fract_x
_atom_site_fract_y
_atom_site_fract_z
Nb1 0.0000 0.0000 0.0000
V1 0.0000 0.5000 0.5000
Co1 0.5000 0.5000 0.0000
# Spin magnetization in μB/f.u.: 0.86

R | # NbV2Co, optimized geometry, DFT PBE
data_NbV2Co
_cell_length_a 2.8372
_cell_length_b 18.9619
_cell_length_c 4.2110
_cell_angle_alpha 90.00
_cell_angle_beta 90.00
_cell_angle_gamma 90.00
_symmetry_space_group_name_H-M 'C m c m'
_symmetry_Int_Tables_number 63
_symmetry_space_group_name_Hall '-C 2c 2'
loop_
_atom_site_label
_atom_site_fract_x
_atom_site_fract_y
_atom_site_fract_z
Nb1 0.0000 0.1159 0.2500
V1 0.0000 0.2494 0.7500
V2 0.0000 0.4796 0.2500
Co1 0.0000 0.3488 0.2500
# Spin magnetization in μB/f.u.: 0.00

Relative calculated energies, zero for the most stable structure, unit eV/atom: P 0.363; Q 0.000; R 0.054.